# 1
LiDy5Se6 PBE optimized geometry; formation energy from raw total energies = -21.02 eV per formula unit
1.0
3.5052 -6.0712 0.0000
3.5052 6.0712 0.0000
-2.3435 0.0000 6.6283
Li Dy Se
1 5 6
Direct
0.0000 0.0000 0.0000
0.1673 0.8327 0.5000
0.3350 0.6650 0.0000
0.5000 0.5000 0.5000
0.6650 0.3350 0.0000
0.8327 0.1673 0.5000
0.0808 0.4052 0.2446
0.2410 0.2410 0.7572
0.4052 0.0808 0.2446
0.5948 0.9192 0.7554
0.7590 0.7590 0.2428
0.9192 0.5948 0.7554

***

# 2
NaNdSc4S8 PBE optimized geometry; formation energy from raw total energies = -25.20 eV per formula unit
1.0
3.8489 2.2222 6.5703
-3.8489 2.2222 6.5703
0.0000 -4.4444 6.5703
Na Nd Sc S
1 1 4 8
Direct
0.0000 0.0000 0.0000
0.6340 0.6340 0.6340
0.1146 0.6362 0.6362
0.2581 0.2581 0.2581
0.6362 0.1146 0.6362
0.6362 0.6362 0.1146
0.3764 0.3764 0.8679
0.3764 0.8679 0.3764
0.3887 0.3887 0.3887
0.4138 0.8826 0.8826
0.8663 0.8663 0.8663
0.8679 0.3764 0.3764
0.8826 0.4138 0.8826
0.8826 0.8826 0.4138

***

# 3
Hg2IrPb PBE optimized geometry; formation energy from the elements = 594 meV per atom
1.0
5.0920 0.0000 0.0000
0.0000 5.0920 0.0000
0.0000 0.0000 3.3397
Hg Ir Pb
2 1 1
Direct
0.0000 0.5000 0.0000
0.5000 0.0000 0.0000
0.0000 0.0000 0.5000
0.5000 0.5000 0.5000

***

# 4
Ga2GeBi PBE optimized geometry; formation energy from the elements = 121 meV per atom
1.0
4.1936 0.0000 0.0000
-2.0968 3.6317 0.0000
0.0000 0.0000 18.7823
Ga Ge Bi
6 3 3
Direct
0.0000 0.0000 0.0000
0.0000 0.0000 0.1990
0.3333 0.6667 0.6667
0.3333 0.6667 0.8657
0.6667 0.3333 0.3333
0.6667 0.3333 0.5324
0.0000 0.0000 0.6027
0.3333 0.6667 0.2693
0.6667 0.3333 0.9360
0.0000 0.0000 0.4328
0.3333 0.6667 0.0995
0.6667 0.3333 0.7661

***

| no. | VASP energy (eV for the cell shown) | calculated density (kg/m3) |
| --- | --- | --- |
| 1 | -66.8 | 7612 |
| 2 | -89.6 | 2973 |
| 3 | -10.8 | 15353 |
| 4 | -42.2 | 7333 |